1.
PBE PrSm6Ho3, optimized geometry; crystal system = orthorhombic; energy above the most stable polymorph in this dataset = 0.22 eV/f.u.; space-group type = Cmc2_1, No. 36; DFT formation energy = 0.1484 eV per atom
1.0
-2.780 5.484 -1.346
-8.418 -2.620 6.717
8.813 5.438 3.952
Ho Sm Pr
6 12 2
Cartesian
-3.187 2.104 1.541
-2.929 3.946 8.515
1.945 2.794 4.904
-0.381 8.530 7.210
-0.639 6.688 0.236
-3.406 3.684 4.867
-5.738 5.177 7.275
-5.925 3.837 2.203
-0.536 5.205 6.271
-3.983 0.427 5.748
-0.668 4.262 2.700
-0.711 0.850 3.603
5.694 9.972 2.869
2.672 4.465 1.719
-8.822 -0.208 6.095
2.190 6.706 3.861
2.860 5.805 6.791
-0.579 1.793 7.174
-6.743 2.335 5.346
5.109 4.485 4.340

***

2.
PBE Tl2ZnHgSb2, optimized geometry; crystal system = orthorhombic; E_form (uncorrected) = 0.02 eV per atom; space-group type = Ibam, No. 72
1.0
6.316 0.000 0.000
0.000 6.614 0.000
-3.158 -3.307 8.327
Hg Tl Zn Sb
2 4 2 4
Cartesian
0.000 4.960 0.000
0.000 1.653 0.000
1.798 3.307 5.302
-1.798 0.000 5.302
1.360 0.000 3.025
4.956 3.307 3.025
3.158 4.960 0.000
3.158 1.653 0.000
1.815 3.307 1.820
-1.343 3.307 6.507
1.343 0.000 6.507
4.501 0.000 1.820

***

What is the formula in the first record? PrSm6Ho3

***

Please write out number 1 again, unchanged.
PBE PrSm6Ho3, optimized geometry; crystal system = orthorhombic; energy above the most stable polymorph in this dataset = 0.22 eV/f.u.; space-group type = Cmc2_1, No. 36; DFT formation energy = 0.1484 eV per atom
1.0
-2.780 5.484 -1.346
-8.418 -2.620 6.717
8.813 5.438 3.952
Ho Sm Pr
6 12 2
Cartesian
-3.187 2.104 1.541
-2.929 3.946 8.515
1.945 2.794 4.904
-0.381 8.530 7.210
-0.639 6.688 0.236
-3.406 3.684 4.867
-5.738 5.177 7.275
-5.925 3.837 2.203
-0.536 5.205 6.271
-3.983 0.427 5.748
-0.668 4.262 2.700
-0.711 0.850 3.603
5.694 9.972 2.869
2.672 4.465 1.719
-8.822 -0.208 6.095
2.190 6.706 3.861
2.860 5.805 6.791
-0.579 1.793 7.174
-6.743 2.335 5.346
5.109 4.485 4.340